Here is crystalline Na2HgS2 at its relaxed geometry from the Alexandria database. Energies are from GGA-PBE.

Calculated values
The calculated volume is 26.7 Å³ per atom. Its uncorrected formation energy is -0.753 eV/atom. The value obtained for the electronic total energy is -2.9921 eV per atom. The spin magnetization comes out at 0.00 μB/f.u.

Cell lengths 8.449, 8.449, 8.449 Å; angles 151.91, 151.91, 40.15 degrees
Positions (direct):
1 Na 0.168 0.168 0.000
2 Na 0.832 0.832 0.000
3 Hg 0.500 0.500 0.000
4 S 0.353 0.353 0.000
5 S 0.647 0.647 0.000